A plane-wave DFT calculation with PBEsol was carried out for an optimized crystal structure of ReIrW.

abc: 5.937 5.937 5.937
angles: 90.00 90.00 90.00
Space group F-43m (No. 216)
Inequivalent atoms, fractional coordinates:
Re  0.000  0.000  0.000 [4 per cell]
Ir  0.000  0.000  0.500 [4 per cell]
W  0.250  0.250  0.750 [4 per cell]

Values from the calculation:
The calculation puts the total energy at -11.70 eV/atom. Its volume is 52.3 Å³/f.u.


A plane-wave DFT calculation with PBEsol was carried out for an optimized crystal structure of YRe2Ir.

abc: 6.405 6.405 6.405
angles: 90.00 90.00 90.00
Space group F-43m (No. 216)
Inequivalent atoms, fractional coordinates:
Y  0.000  0.000  0.000 [4 per cell]
Re  0.000  0.000  0.500 [4 per cell]
Re  0.250  0.250  0.250 [4 per cell]
Ir  0.250  0.250  0.750 [4 per cell]

Values from the calculation:
The calculation puts the total energy at -10.58 eV/atom. Its volume is 65.7 Å³/f.u.


A plane-wave DFT calculation with PBEsol was carried out for an optimized crystal structure of YReIr2.

abc: 2.872 2.872 7.917
angles: 90.00 90.00 90.00
Space group P4/mmm (No. 123)
Inequivalent atoms, fractional coordinates:
Y  0.000  0.000  0.000 [1 per cell]
Re  0.000  0.000  0.500 [1 per cell]
Ir  0.500  0.500  0.281 [2 per cell]

Values from the calculation:
The calculation puts the total energy at -10.22 eV/atom. Its volume is 65.3 Å³/f.u.


A plane-wave DFT calculation with PBEsol was carried out for an optimized crystal structure of YReIr2.

abc: 4.777 4.777 2.864
angles: 90.00 90.00 90.00
Space group P4/mmm (No. 123)
Inequivalent atoms, fractional coordinates:
Y  0.000  0.000  0.000 [1 per cell]
Re  0.500  0.500  0.000 [1 per cell]
Ir  0.000  0.500  0.500 [2 per cell]

Values from the calculation:
The calculation puts the total energy at -10.00 eV/atom. Its volume is 65.4 Å³/f.u.


A plane-wave DFT calculation with PBEsol was carried out for an optimized crystal structure of YReIr2.

abc: 9.299 2.788 5.182
angles: 90.00 99.06 90.00
Space group C2/m (No. 12)
Inequivalent atoms, fractional coordinates:
Y  0.000  0.000  0.000 [2 per cell]
Re  0.000  0.500  0.500 [2 per cell]
Ir  0.244  0.000  0.709 [4 per cell]

Values from the calculation:
The calculation puts the total energy at -9.90 eV/atom. Its volume is 66.3 Å³/f.u.


A plane-wave DFT calculation with PBEsol was carried out for an optimized crystal structure of Zn3ReIr.

abc: 4.599 4.599 4.599
angles: 90.00 90.00 90.00
Space group Pm-3m (No. 221)
Inequivalent atoms, fractional coordinates:
Zn  0.000  0.000  0.500 [3 per cell]
Re  0.000  0.000  0.000 [1 per cell]
Ir  0.500  0.500  0.500 [1 per cell]

Values from the calculation:
The calculation puts the total energy at -3.75 eV/atom. Its volume is 97.3 Å³/f.u.


A plane-wave DFT calculation with PBEsol was carried out for an optimized crystal structure of ZnReIr2.

abc: 2.7293 2.7293 26.1390
angles: 90.00 90.00 120.00
Space group R-3m (No. 166, hexagonal axes)
Inequivalent atoms, fractional coordinates:
Zn  0.0000  0.0000  0.0000 [3 per cell]
Re  0.0000  0.0000  0.5000 [3 per cell]
Ir  0.0000  0.0000  0.2498 [6 per cell]

Values from the calculation:
The calculation puts the total energy at -8.78 eV/atom. Its volume is 56.2 Å³/f.u.


A plane-wave DFT calculation with PBEsol was carried out for an optimized crystal structure of ZnReIr2.

abc: 4.547 4.547 2.764
angles: 90.00 90.00 90.00
Space group P4/mmm (No. 123)
Inequivalent atoms, fractional coordinates:
Zn  0.000  0.000  0.000 [1 per cell]
Re  0.500  0.500  0.000 [1 per cell]
Ir  0.000  0.500  0.500 [2 per cell]

Values from the calculation:
The calculation puts the total energy at -8.47 eV/atom. Its volume is 57.2 Å³/f.u.


A plane-wave DFT calculation with PBEsol was carried out for an optimized crystal structure of ZnReIr2.

abc: 3.759 3.759 7.914
angles: 90.00 90.00 90.00
Space group I-4m2 (No. 119)
Inequivalent atoms, fractional coordinates:
Zn  0.000  0.000  0.000 [2 per cell]
Re  0.000  0.500  0.750 [2 per cell]
Ir  0.000  0.000  0.500 [2 per cell]
Ir  0.000  0.500  0.250 [2 per cell]

Values from the calculation:
The calculation puts the total energy at -8.57 eV/atom. Its volume is 55.9 Å³/f.u.


A plane-wave DFT calculation with PBEsol was carried out for an optimized crystal structure of ZnReIr2.

abc: 2.745 4.505 4.590
angles: 90.00 90.00 90.00
Space group Pmmm (No. 47)
Inequivalent atoms, fractional coordinates:
Zn  0.000  0.000  0.000 [1 per cell]
Re  0.500  0.000  0.500 [1 per cell]
Ir  0.000  0.500  0.500 [1 per cell]
Ir  0.500  0.500  0.000 [1 per cell]

Values from the calculation:
The calculation puts the total energy at -8.38 eV/atom. Its volume is 56.8 Å³/f.u.


A plane-wave DFT calculation with PBEsol was carried out for an optimized crystal structure of ZnReIr2.

abc: 9.021 2.740 4.624
angles: 90.00 99.54 90.00
Space group Cm (No. 8)
Inequivalent atoms, fractional coordinates:
Zn  0.000  0.000  0.000 [2 per cell]
Re  0.238  0.000  0.701 [2 per cell]
Ir  0.251  0.500  0.197 [2 per cell]
Ir  0.495  0.000  0.507 [2 per cell]

Values from the calculation:
The calculation puts the total energy at -8.70 eV/atom. Its volume is 56.4 Å³/f.u.


A plane-wave DFT calculation with PBEsol was carried out for an optimized crystal structure of ZnReIr2.

abc: 2.765 2.765 7.309
angles: 90.00 90.00 90.00
Space group P4/mmm (No. 123)
Inequivalent atoms, fractional coordinates:
Zn  0.000  0.000  0.000 [1 per cell]
Re  0.000  0.000  0.500 [1 per cell]
Ir  0.500  0.500  0.252 [2 per cell]

Values from the calculation:
The calculation puts the total energy at -8.88 eV/atom. Its volume is 55.9 Å³/f.u.


A plane-wave DFT calculation with PBEsol was carried out for an optimized crystal structure of Zn2ReIr.

abc: 2.760 4.435 4.599
angles: 90.00 90.00 90.00
Space group Pmmm (No. 47)
Inequivalent atoms, fractional coordinates:
Zn  0.000  0.000  0.000 [1 per cell]
Zn  0.500  0.000  0.500 [1 per cell]
Re  0.000  0.500  0.500 [1 per cell]
Ir  0.500  0.500  0.000 [1 per cell]

Values from the calculation:
The calculation puts the total energy at -6.44 eV/atom. Its volume is 56.3 Å³/f.u.


A plane-wave DFT calculation with PBEsol was carried out for an optimized crystal structure of ZnReIr2.

abc: 2.728 4.653 9.069
angles: 90.00 90.00 90.00
Space group Cmm2 (No. 35)
Inequivalent atoms, fractional coordinates:
Zn  0.000  0.000  0.000 [2 per cell]
Re  0.000  0.500  0.253 [2 per cell]
Ir  0.000  0.000  0.501 [2 per cell]
Ir  0.000  0.500  0.761 [2 per cell]

Values from the calculation:
The calculation puts the total energy at -8.40 eV/atom. Its volume is 57.5 Å³/f.u.


A plane-wave DFT calculation with PBEsol was carried out for an optimized crystal structure of ZrRe2Ir.

abc: 6.329 6.329 6.329
angles: 90.00 90.00 90.00
Space group F-43m (No. 216)
Inequivalent atoms, fractional coordinates:
Zr  0.000  0.000  0.000 [4 per cell]
Re  0.000  0.000  0.500 [4 per cell]
Re  0.250  0.250  0.750 [4 per cell]
Ir  0.250  0.250  0.250 [4 per cell]

Values from the calculation:
The calculation puts the total energy at -11.36 eV/atom. Its volume is 63.4 Å³/f.u.


A plane-wave DFT calculation with PBEsol was carried out for an optimized crystal structure of ZrRe2Ir.

abc: 6.318 6.318 6.318
angles: 90.00 90.00 90.00
Space group Fm-3m (No. 225)
Inequivalent atoms, fractional coordinates:
Zr  0.000  0.000  0.000 [4 per cell]
Re  0.250  0.250  0.250 [8 per cell]
Ir  0.000  0.000  0.500 [4 per cell]

Values from the calculation:
The calculation puts the total energy at -11.16 eV/atom. Its volume is 63.0 Å³/f.u.


A plane-wave DFT calculation with PBEsol was carried out for an optimized crystal structure of ZrRe2Ir.

abc: 2.738 2.738 8.455
angles: 90.00 90.00 90.00
Space group P4/mmm (No. 123)
Inequivalent atoms, fractional coordinates:
Zr  0.000  0.000  0.000 [1 per cell]
Re  0.500  0.500  0.275 [2 per cell]
Ir  0.000  0.000  0.500 [1 per cell]

Values from the calculation:
The calculation puts the total energy at -11.38 eV/atom. Its volume is 63.4 Å³/f.u.


A plane-wave DFT calculation with PBEsol was carried out for an optimized crystal structure of ZrRe2Ir.

abc: 2.7544 2.7544 28.7801
angles: 90.00 90.00 120.00
Space group R-3m (No. 166, hexagonal axes)
Inequivalent atoms, fractional coordinates:
Zr  0.0000  0.0000  0.0000 [3 per cell]
Re  0.0000  0.0000  0.2429 [6 per cell]
Ir  0.0000  0.0000  0.5000 [3 per cell]

Values from the calculation:
The calculation puts the total energy at -11.26 eV/atom. Its volume is 63.0 Å³/f.u.


A plane-wave DFT calculation with PBEsol was carried out for an optimized crystal structure of ZrRe2Ir.

abc: 3.864 3.864 4.223
angles: 90.00 90.00 90.00
Space group P4/mmm (No. 123)
Inequivalent atoms, fractional coordinates:
Zr  0.000  0.000  0.000 [1 per cell]
Re  0.000  0.500  0.500 [2 per cell]
Ir  0.500  0.500  0.000 [1 per cell]

Values from the calculation:
The calculation puts the total energy at -11.50 eV/atom. Its volume is 63.1 Å³/f.u.


A plane-wave DFT calculation with PBEsol was carried out for an optimized crystal structure of ZrRe2Ir.

abc: 3.882 3.882 8.384
angles: 90.00 90.00 90.00
Space group I4/mmm (No. 139)
Inequivalent atoms, fractional coordinates:
Zr  0.000  0.000  0.000 [2 per cell]
Re  0.000  0.500  0.250 [4 per cell]
Ir  0.000  0.000  0.500 [2 per cell]

Values from the calculation:
The calculation puts the total energy at -11.44 eV/atom. Its volume is 63.2 Å³/f.u.